The following is a PBE-GGA calculation of crystalline ZnCoW2 at its relaxed geometry, from the Alexandria database.

Structure (CIF):
```
data_ZnCoW2
_cell_length_a 4.268
_cell_length_b 2.685
_cell_length_c 4.965
_cell_angle_alpha 82.56
_cell_angle_beta 90.00
_cell_angle_gamma 90.00
_space_group_name_H-M_alt 'P 1'
_space_group_IT_number 1
_space_group_name_Hall 'P 1'
loop_
_atom_site_label
_atom_site_type_symbol
_atom_site_fract_x
_atom_site_fract_y
_atom_site_fract_z
Co1 Co 0.500 0.632 0.759
W1 W 0.000 0.014 0.975
W2 W 0.500 0.220 0.271
Zn1 Zn 0.000 0.635 0.495
```

Computed properties:
As for the energy of formation from the pure elements: 184 meV per atom. The symmetry is Pm (6). For the final energy, the calculation gives -8.39 eV per atom. Its crystal system is monoclinic. The calculation puts the size of the total moment at 0.001 μB/atom.